Entry 1:
TbHo3Ga2 (PBE, relaxed); magnetic moment = 0.0 μB per cell; crystal system = orthorhombic; N(E_F) = 10.73 states/eV/cell; energy above the lowest structure with this stoichiometry = 0.0000 eV per atom; mass density = 8.6 g cm⁻³
1.0
4.9245 0.0000 0.0000
0.0000 6.5794 0.0000
0.0000 0.0000 9.4414
Ga Ho Tb
4 6 2
Direct
0.0000 0.2886 0.6398 Ga
0.5000 0.2107 0.1397 Ga
0.0000 0.7886 0.3602 Ga
0.5000 0.7107 0.8603 Ga
0.0000 0.8279 0.6820 Ho
0.0000 0.9648 0.0506 Ho
0.5000 0.6723 0.1785 Ho
0.0000 0.3279 0.3180 Ho
0.0000 0.4648 0.9494 Ho
0.5000 0.1723 0.8215 Ho
0.5000 0.0357 0.4507 Tb
0.5000 0.5357 0.5493 Tb


Entry 2:
TbHoGa2 (PBE, relaxed); magnetic moment = 0.0 μB per cell; crystal system = trigonal; total DFT energy (no corrections) = -4.24 eV per atom; N(E_F) = 1.93 states/eV/cell; mass density = 7.7 g cm⁻³
1.0
-0.5512 -1.4575 -3.2983
-1.5585 -3.2840 -0.3056
-8.5315 2.1668 -1.5491
Tb Ga Ho
1 2 1
Direct
0.5000 0.5000 0.5000 Tb
0.7494 0.7494 0.7519 Ga
0.2506 0.2506 0.2481 Ga
0.0000 0.0000 0.0000 Ho


Entry 3:
Tb2Ho2Ga (PBE, relaxed); magnetic moment = 0.0 μB per cell; crystal system = tetragonal; total DFT energy (no corrections) = -3.97 eV per atom; N(E_F) = 6.18 states/eV/cell; mass density = 7.7 g cm⁻³
1.0
4.2036 0.0000 0.0000
0.0000 4.2036 0.0000
-2.1018 -2.1018 8.7320
Ho Tb Ga
2 2 1
Direct
0.2500 0.7500 0.5000 Ho
0.7500 0.2500 0.5000 Ho
0.5870 0.5870 0.1740 Tb
0.4130 0.4130 0.8260 Tb
0.0000 0.0000 0.0000 Ga


Entry 4:
TbHo3Ga3 (PBE, relaxed); magnetic moment = 0.0 μB per cell; crystal system = hexagonal; total DFT energy (no corrections) = -4.35 eV per atom; N(E_F) = 9.28 states/eV/cell; mass density = 8.4 g cm⁻³
1.0
4.7813 0.0000 0.0000
0.0000 9.0989 0.0000
0.0000 -4.5494 7.8799
Tb Ga Ho
2 6 6
Direct
0.7500 0.3333 0.6667 Tb
0.2500 0.6667 0.3333 Tb
0.7500 0.4499 0.3914 Ga
0.7500 0.9415 0.5501 Ga
0.7500 0.6086 0.0585 Ga
0.2500 0.5501 0.6086 Ga
0.2500 0.0585 0.4499 Ga
0.2500 0.3914 0.9415 Ga
0.2500 0.7463 0.9853 Ho
0.2500 0.0147 0.7610 Ho
0.7500 0.7610 0.7463 Ho
0.7500 0.2537 0.0147 Ho
0.2500 0.2390 0.2537 Ho
0.7500 0.9853 0.2390 Ho


Entry 5:
Tb3HoGa4 (PBE, relaxed); magnetic moment = 0.0 μB per cell; crystal system = trigonal; N(E_F) = 2.79 states/eV/cell; energy above the lowest structure with this stoichiometry = 0.0000 eV per atom; mass density = 8.3 g cm⁻³
1.0
4.8472 0.0000 1.4308
2.2124 4.3129 1.4308
0.0440 0.0269 8.7766
Tb Ho Ga
3 1 4
Direct
0.7497 0.7497 0.7508 Tb
0.2503 0.2503 0.2492 Tb
0.5000 0.5000 0.5000 Tb
0.0000 0.0000 0.0000 Ho
0.1247 0.1247 0.6260 Ga
0.8753 0.8753 0.3740 Ga
0.6254 0.6254 0.1239 Ga
0.3746 0.3746 0.8761 Ga


Entry 6:
TbHo2Ga (PBE, relaxed); magnetic moment = 0.9 μB per cell; crystal system = trigonal; N(E_F) = 5.31 states/eV/cell; energy above the lowest structure with this stoichiometry = 0.2827 eV per atom; mass density = 7.9 g cm⁻³
1.0
-2.0296 1.8893 2.1016
-3.4029 -0.6919 0.2157
0.1827 -6.7906 9.1611
Ga Ho Tb
1 2 1
Direct
0.5000 0.5000 0.5000 Ga
0.8979 0.8979 0.3064 Ho
0.1021 0.1021 0.6936 Ho
0.0000 0.0000 0.0000 Tb


Entry 7:
Tb3HoGa2 (PBE, relaxed); magnetic moment = 0.0 μB per cell; crystal system = orthorhombic; N(E_F) = 11.02 states/eV/cell; energy above the lowest structure with this stoichiometry = 0.0000 eV per atom; mass density = 8.4 g cm⁻³
1.0
4.9867 0.0000 0.0000
0.0000 6.5516 0.0000
0.0000 0.0000 9.4714
Ga Tb Ho
4 6 2
Direct
0.5000 0.7085 0.8565 Ga
0.5000 0.2085 0.1435 Ga
0.0000 0.2923 0.6433 Ga
0.0000 0.7923 0.3567 Ga
0.0000 0.9697 0.0480 Tb
0.0000 0.3217 0.3245 Tb
0.5000 0.6781 0.1787 Tb
0.5000 0.1781 0.8213 Tb
0.0000 0.4697 0.9520 Tb
0.0000 0.8217 0.6755 Tb
0.5000 0.0296 0.4507 Ho
0.5000 0.5296 0.5493 Ho


Entry 8:
TbHo2Ga (PBE, relaxed); magnetic moment = 0.0 μB per cell; crystal system = orthorhombic; N(E_F) = 10.60 states/eV/cell; energy above the lowest structure with this stoichiometry = 0.0026 eV per atom; mass density = 8.4 g cm⁻³
1.0
-0.6500 -2.6514 -2.3770
5.2836 3.2104 -2.2693
5.7255 -5.8875 5.0014
Ho Tb Ga
4 2 2
Direct
0.3646 0.7286 0.9555 Ho
0.6354 0.2714 0.0445 Ho
0.3646 0.7286 0.5445 Ho
0.6354 0.2714 0.4555 Ho
0.0527 0.1058 0.7500 Tb
0.9473 0.8942 0.2500 Tb
0.7481 0.4964 0.7500 Ga
0.2519 0.5036 0.2500 Ga


Entry 9:
TbHo3Ga2 (PBE, relaxed); magnetic moment = 0.0 μB per cell; crystal system = monoclinic; N(E_F) = 10.09 states/eV/cell; energy above the lowest structure with this stoichiometry = 0.0998 eV per atom; mass density = 8.4 g cm⁻³
1.0
5.0442 0.0000 0.0000
-2.5221 8.6680 -0.7424
0.0000 -4.5561 7.5777
Ga Ho Tb
4 6 2
Direct
0.2272 0.4543 0.8402 Ga
0.7728 0.5457 0.1598 Ga
0.5151 0.0303 0.8791 Ga
0.4849 0.9697 0.1209 Ga
0.6873 0.3747 0.3815 Ho
0.3127 0.6253 0.6185 Ho
0.3782 0.7565 0.2685 Ho
0.0622 0.1244 0.4073 Ho
0.6218 0.2435 0.7315 Ho
0.9378 0.8756 0.5927 Ho
0.1292 0.2583 0.0693 Tb
0.8708 0.7417 0.9307 Tb


Entry 10:
TbHoGa2 (PBE, relaxed); magnetic moment = 0.0 μB per cell; crystal system = tetragonal; total DFT energy (no corrections) = -4.40 eV per atom; N(E_F) = 1.83 states/eV/cell; mass density = 8.4 g cm⁻³
1.0
3.5726 0.0000 0.0000
0.0000 3.5726 0.0000
0.0000 0.0000 7.1427
Ho Ga Tb
1 2 1
Direct
0.5000 0.5000 0.0000 Ho
0.0000 0.0000 0.7535 Ga
0.0000 0.0000 0.2465 Ga
0.5000 0.5000 0.5000 Tb


Entry 11:
TbHo2Ga (PBE, relaxed); magnetic moment = 0.6 μB per cell; crystal system = trigonal; N(E_F) = 3.99 states/eV/cell; energy above the lowest structure with this stoichiometry = 0.0848 eV per atom; mass density = 8.1 g cm⁻³
1.0
3.5974 0.0000 0.0000
1.7987 3.1154 0.0000
1.7987 1.0385 10.1602
Ho Tb Ga
2 1 1
Direct
0.0710 0.0710 0.7871 Ho
0.2624 0.2624 0.2128 Ho
0.5003 0.5003 0.4991 Tb
0.6663 0.6663 0.0010 Ga


Entry 12:
Tb3Ho2Ga2 (PBE, relaxed); magnetic moment = 0.0 μB per cell; crystal system = monoclinic; total DFT energy (no corrections) = -4.48 eV per atom; N(E_F) = 6.90 states/eV/cell; mass density = 8.1 g cm⁻³
1.0
-0.6265 3.6237 -0.4009
-6.1395 -2.9150 0.3132
3.5827 1.4919 7.8867
Ho Tb Ga
2 3 2
Direct
0.1448 0.2896 0.8102 Ho
0.8552 0.7104 0.1898 Ho
0.5000 0.0000 0.0000 Tb
0.3872 0.7744 0.5625 Tb
0.6128 0.2256 0.4375 Tb
0.8137 0.6274 0.7833 Ga
0.1863 0.3725 0.2167 Ga


Entry 13:
Tb3HoGa2 (PBE, relaxed); magnetic moment = 0.0 μB per cell; crystal system = monoclinic; N(E_F) = 10.28 states/eV/cell; energy above the lowest structure with this stoichiometry = 0.1057 eV per atom; mass density = 8.1 g cm⁻³
1.0
5.0372 0.0000 0.0000
-2.5186 8.7213 -0.7339
0.0000 -4.5461 7.6363
Tb Ga Ho
6 4 2
Direct
0.3766 0.7531 0.2656 Tb
0.9383 0.8766 0.5938 Tb
0.6877 0.3754 0.3774 Tb
0.0617 0.1234 0.4062 Tb
0.3123 0.6246 0.6226 Tb
0.6234 0.2469 0.7344 Tb
0.2285 0.4570 0.8438 Ga
0.4851 0.9703 0.1206 Ga
0.5149 0.0297 0.8794 Ga
0.7715 0.5430 0.1562 Ga
0.8724 0.7447 0.9350 Ho
0.1276 0.2553 0.0650 Ho


Entry 14:
TbHoGa4 (PBE, relaxed); magnetic moment = 0.0 μB per cell; crystal system = orthorhombic; N(E_F) = 3.28 states/eV/cell; energy above the lowest structure with this stoichiometry = 0.0106 eV per atom; mass density = 8.2 g cm⁻³
1.0
3.9100 0.0000 1.6759
1.7127 5.3618 1.4033
-0.1685 0.2707 5.7922
Ga Tb Ho
4 1 1
Direct
0.8384 0.8586 0.4645 Ga
0.8384 0.4645 0.8586 Ga
0.1610 0.0380 0.6399 Ga
0.1610 0.6399 0.0380 Ga
0.4401 0.0599 0.0599 Tb
0.5610 0.4390 0.4390 Ho